The following is a PBE-GGA calculation of an optimized crystal structure of ZnTc2Pt, from Alexandria.

Cell lengths 2.691, 2.691, 8.102 Å; angles 90.00, 90.00, 90.00 degrees
Fractional coordinates of all 4 atoms:
Tc1 0.000 0.000 0.498
Tc2 0.000 0.000 0.002
Zn1 0.500 0.500 0.250
Pt1 0.500 0.500 0.750

Values from the calculation:
Its crystal system is tetragonal. As for the energy of formation from the pure elements: 0.208 eV per formula unit. As for the spin magnetization: 0.000 μB per atom. The calculation puts the density of states at the Fermi level at 1.219 states/eV/atom. The volume is 14.7 Å³ per atom.